VASP calculation (PBE) on a relaxed CsRhBr2Cl crystal.

a = 5.2584 Å, b = 5.2584 Å, c = 5.0107 Å
α = 90.00°, β = 90.00°, γ = 90.00°
Last column: nearest neighbours and their distance in Å.
Element x y z (fractional)
1 Rh 0.0000 0.0000 0.0000  2 Cl 2.51, 4 Br 2.63
2 Cs 0.5000 0.5000 0.5000  8 Br 3.63, 4 Cl 3.72
3 Br 0.0000 0.5000 0.0000  2 Rh 2.63
4 Br 0.5000 0.0000 0.0000  2 Rh 2.63
5 Cl 0.0000 0.0000 0.5000  2 Rh 2.51

Summary:
DFT total energy in eV per cell: -17.58
Total moment in μB per formula unit: 0.00


VASP calculation (PBE) on a relaxed Cs2RuBrCl5 crystal.

a = 7.4821 Å, b = 7.4821 Å, c = 7.4821 Å
α = 91.28°, β = 119.26°, γ = 119.26°
Last column: nearest neighbours and their distance in Å.
Element x y z (fractional)
1 Cl 0.5592 0.7811 0.7811  1 Ru 2.36
2 Cl 0.0000 0.2275 0.2275  1 Ru 2.36
3 Cl 0.0000 0.7811 0.2220  1 Ru 2.36
4 Cl 0.0000 0.2220 0.7811  1 Ru 2.36
5 Cl 0.4408 0.2220 0.2220  1 Ru 2.36
6 Br 0.0000 0.7618 0.7618  1 Ru 2.51
7 Ru 0.0000 0.0016 0.0016  5 Cl 2.36, 1 Br 2.51
8 Cs 0.5000 0.7515 0.2515  10 Cl 3.75-3.79, 2 Br 3.78
9 Cs 0.5000 0.2515 0.7515  10 Cl 3.75-3.79, 2 Br 3.78

Summary:
DFT total energy in eV per cell: -32.77
Total moment in μB per formula unit: 2.00


Number 1: uncorrected formation energy -0.837 eV per atom. Number 2: uncorrected formation energy -1.209 eV per atom.